Entry 1:
LaScSe2 | PBE | relaxed

The structure in extended XYZ format:
```
8
Lattice="6.4289 0.0000 0.0000 0.0000 6.4289 0.0000 3.2145 3.2145 6.3334" Properties=species:S:1:pos:R:3 pbc="T T T"
Sc 3.2145 3.2145 0.0000
Sc 3.2145 6.4289 3.1667
Se 4.5592 1.6072 1.5833
Se 1.8698 4.8217 1.5833
Se 4.8217 5.0842 4.7500
Se 8.0362 7.7736 4.7500
La 0.0000 0.0000 0.0000
La 6.4289 3.2145 3.1667
```

Values from the calculation:
The value obtained for the energy relative to the lowest polymorph listed for this composition is 0.419 eV per atom. Its space-group type is I-42d, No. 122. The energy comes out at -47.3 eV for the cell shown. The raw formation energy comes out at -1.36 eV per atom.

***

Entry 2:
LaScSe2 | PBE | relaxed

The structure in extended XYZ format:
```
4
Lattice="5.3245 0.0093 -0.0032 0.4748 5.3033 0.0032 -2.1715 -3.4512 3.4241" Properties=species:S:1:pos:R:3 pbc="T T T"
La 3.0263 -0.3928 1.7105
Sc 0.6015 2.2542 1.7137
Se 0.1948 0.1785 0.0000
Se 2.7048 2.4778 0.0000
```

Values from the calculation:
The value obtained for the energy relative to the lowest polymorph listed for this composition is 0.300 eV per atom. Its space-group type is Immm, No. 71. The energy comes out at -24.1 eV for the cell shown. The raw formation energy comes out at -1.48 eV per atom.

***

Entry 3:
LaSc3Se | PBE | relaxed

The structure in extended XYZ format:
```
5
Lattice="-0.3916 2.6504 4.4136 -5.1482 -0.1941 -0.3402 -0.0087 -4.4267 2.6575" Properties=species:S:1:pos:R:3 pbc="T T T"
Sc -2.5741 -0.0970 -0.1701
Sc -0.0044 -2.2133 1.3287
Sc -0.1958 1.3252 2.2068
Se 0.0000 0.0000 0.0000
La -2.7743 -0.9852 3.3654
```

Values from the calculation:
The value obtained for the energy relative to the lowest polymorph listed for this composition is 0.000 eV per atom. Its space-group type is Pm-3m, No. 221. The energy comes out at -29.4 eV for the cell shown. The raw formation energy comes out at -0.40 eV per atom.

***

Entry 4:
LaScSe4 | PBE | relaxed

The structure in extended XYZ format:
```
6
Lattice="-2.4002 -1.6361 5.1070 -5.5974 1.3412 1.1786 -4.0745 -4.2315 0.1091" Properties=species:S:1:pos:R:3 pbc="T T T"
La -9.0540 -3.3948 4.7960
Sc 0.0000 0.0000 0.0000
Se -5.7261 -2.5163 4.9572
Se -6.5660 -3.8182 2.4501
Se -7.3299 -1.0228 2.9866
Se -4.5221 -1.6956 2.3954
```

Values from the calculation:
Its space-group type is F-43m, No. 216. The energy comes out at -26.5 eV for the cell shown. The raw formation energy comes out at -0.22 eV per atom.

***

Entry 5:
LaScSe2 | PBE | relaxed

The structure in extended XYZ format:
```
4
Lattice="-5.7333 -2.6328 -0.2323 -2.9904 -5.5353 -0.5230 0.0159 -0.4048 4.1911" Properties=species:S:1:pos:R:3 pbc="T T T"
La -4.3174 -4.3048 2.2454
Sc -2.0121 -1.9364 0.3491
Se -0.1042 -0.1501 0.5154
Se -6.6280 -6.4681 2.0439
```

Values from the calculation:
The value obtained for the energy relative to the lowest polymorph listed for this composition is 0.218 eV per atom. Its space-group type is Amm2, No. 38. The energy comes out at -24.5 eV for the cell shown. The raw formation energy comes out at -1.56 eV per atom.

***

Entry 6:
LaSc4Se | PBE | relaxed

The structure in extended XYZ format:
```
6
Lattice="-6.0823 -0.6271 0.5378 -3.7188 2.3638 -4.2732 -3.0507 -3.7204 -3.8117" Properties=species:S:1:pos:R:3 pbc="T T T"
La 0.0000 0.0000 0.0000
Sc -7.8803 -1.0583 -2.5446
Sc -6.3437 -2.6262 -4.7491
Sc -6.6823 0.4576 -4.9831
Sc -4.7974 -0.7405 -2.8172
Se -9.6389 -1.4878 -5.6603
```

Values from the calculation:
Its space-group type is F-43m, No. 216. The energy comes out at -32.9 eV for the cell shown. The raw formation energy comes out at 0.14 eV per atom.

***

Entry 7:
LaScSe2 | PBE | relaxed

The structure in extended XYZ format:
```
4
Lattice="-2.3578 3.3065 0.8395 -3.0378 -2.4993 1.3121 2.1903 0.1849 5.4234" Properties=species:S:1:pos:R:3 pbc="T T T"
La 0.8213 0.0693 2.0336
Sc -0.7814 0.5654 5.8211
Se 1.9165 0.1618 4.7455
Se -1.8763 0.4729 3.1098
```

Values from the calculation:
The value obtained for the energy relative to the lowest polymorph listed for this composition is 0.112 eV per atom. Its space-group type is P4/mmm, No. 123. The energy comes out at -24.9 eV for the cell shown. The raw formation energy comes out at -1.67 eV per atom.

***

Entry 8:
La3ScSe4 | PBE | relaxed

The structure in extended XYZ format:
```
8
Lattice="-1.6655 3.6178 1.2638 -4.3919 0.0243 -5.8573 -3.3711 -3.4712 5.4940" Properties=species:S:1:pos:R:3 pbc="T T T"
Sc -0.8327 1.8089 0.6319
Se -1.7642 -0.7833 -0.0826
Se -4.9817 1.0013 -2.5237
Se -5.9989 -2.6636 -0.2807
Se -4.4468 -0.8303 3.4243
La -1.6856 -1.7356 2.7470
La -4.7143 0.0855 0.4503
La -2.1960 0.0121 -2.9287
```

Values from the calculation:
Its space-group type is Cmmm, No. 65. The energy comes out at -49.9 eV for the cell shown. The raw formation energy comes out at -1.86 eV per atom.

***

raw formation energy of number 7 (LaScSe2)? -1.67 eV per atom